1.
A plane-wave DFT calculation with PBE was carried out for a geometry-optimized PrNdTm14 structure.

a b c (Å): 6.8752 6.8752 11.0119
angles (deg): 90.00 90.00 108.21
Last column: nearest neighbours and their distance in Å.
Positions (direct):
Tm: 0.4133 0.1659 0.7542  9 Tm 3.28-3.61, 1 Nd 3.38, 1 Pr 3.65
Tm: 0.4133 0.1659 0.2458  9 Tm 3.28-3.61, 1 Nd 3.38, 1 Pr 3.65
Tm: 0.8341 0.5867 0.2458  9 Tm 3.28-3.61, 1 Nd 3.38, 1 Pr 3.65
Tm: 0.9007 0.0993 0.7375  9 Tm 3.41-3.69, 1 Nd 3.46, 1 Pr 3.74
Tm: 0.0396 0.3715 0.0000  11 Tm 3.31-3.58
Tm: 0.6240 0.7856 0.5000  7 Tm 3.30-3.61, 2 Nd 3.43-3.52, 2 Pr 3.43-3.51
Tm: 0.8341 0.5867 0.7542  9 Tm 3.28-3.61, 1 Nd 3.38, 1 Pr 3.65
Tm: 0.5555 0.4445 0.0000  10 Tm 3.28-3.52
Tm: 0.9007 0.0993 0.2625  9 Tm 3.41-3.69, 1 Nd 3.46, 1 Pr 3.74
Tm: 0.2144 0.3760 0.5000  7 Tm 3.30-3.61, 2 Nd 3.43-3.52, 2 Pr 3.43-3.51
Tm: 0.1063 0.8937 0.0000  12 Tm 3.46-3.70
Tm: 0.6285 0.9604 0.0000  11 Tm 3.31-3.58
Tm: 0.3482 0.6518 0.7695  10 Tm 3.43-3.70, 1 Pr 3.76
Tm: 0.3482 0.6518 0.2305  10 Tm 3.43-3.70, 1 Pr 3.76
Nd: 0.6979 0.3021 0.5000  10 Tm 3.38-3.52
Pr: 0.1409 0.8591 0.5000  12 Tm 3.43-3.76

Summary:
Final energy: -4.449 eV per atom
Space group: Amm2 (38)

***

2.
A plane-wave DFT calculation with PBE was carried out for a geometry-optimized SrLiGaCu2 structure.

a b c (Å): 4.2612 4.2612 6.1651
angles (deg): 110.22 110.22 90.00
Last column: nearest neighbours and their distance in Å.
Positions (direct):
Sr: 0.0000 0.0000 0.0000  8 Cu 3.26, 4 Li 3.43, 4 Ga 3.43
Ga: 0.2500 0.7500 0.5000  4 Cu 2.57
Cu: 0.6156 0.6156 0.2312  1 Cu 2.49, 2 Li 2.57, 2 Ga 2.57
Cu: 0.3844 0.3844 0.7688  1 Cu 2.49, 2 Li 2.57, 2 Ga 2.57
Li: 0.7500 0.2500 0.5000  4 Cu 2.57

Summary:
Final energy: -3.146 eV per atom
Space group: I-4m2 (119)

***

3.
A plane-wave DFT calculation with PBE was carried out for a geometry-optimized Na4LiHg2 structure.

a b c (Å): 4.5769 6.5478 6.5478
angles (deg): 82.66 90.00 90.00
Last column: nearest neighbours and their distance in Å.
Positions (direct):
Hg: 0.5000 0.8198 0.8198  2 Li 2.89, 4 Na 3.22
Hg: 0.5000 0.1802 0.1802  2 Li 2.89, 4 Na 3.22
Na: 0.5000 0.6852 0.3148  5 Na 3.20-3.41, 4 Hg 3.25-3.53, 2 Li 3.56
Na: 0.0000 0.0000 0.5000  4 Hg 3.22, 2 Li 3.27, 4 Na 3.41
Na: 0.5000 0.3148 0.6852  5 Na 3.20-3.41, 4 Hg 3.25-3.53, 2 Li 3.56
Na: 0.0000 0.5000 0.0000  4 Hg 3.22, 2 Li 3.27, 4 Na 3.41
Li: 0.0000 0.0000 0.0000  4 Hg 2.89

Summary:
Final energy: -1.261 eV per atom
Space group: Cmmm (65)

***

4.
A plane-wave DFT calculation with PBE was carried out for a geometry-optimized SmGa6Pd12 structure.

a b c (Å): 7.2212 7.2212 7.2212
angles (deg): 105.90 105.90 105.90
Last column: nearest neighbours and their distance in Å.
Positions (direct):
Sm: 0.0000 0.0000 0.0000  6 Pd 3.19
Pd: 0.8792 0.5000 0.1208  4 Ga 2.46-2.53
Pd: 0.8792 0.1208 0.5000  4 Ga 2.46-2.53
Pd: 0.4069 0.1596 0.4069  3 Ga 2.55-2.64, 4 Pd 2.83-2.85
Pd: 0.1208 0.8792 0.5000  4 Ga 2.46-2.53
Pd: 0.5000 0.8792 0.1208  4 Ga 2.46-2.53
Pd: 0.1596 0.4069 0.4069  3 Ga 2.55-2.64, 4 Pd 2.83-2.85
Pd: 0.5000 0.1208 0.8792  4 Ga 2.46-2.53
Pd: 0.5931 0.8404 0.5931  3 Ga 2.55-2.64, 4 Pd 2.83-2.85
Pd: 0.8404 0.5931 0.5931  3 Ga 2.55-2.64, 4 Pd 2.83-2.85
Pd: 0.5931 0.5931 0.8404  3 Ga 2.55-2.64, 4 Pd 2.83-2.85
Pd: 0.1208 0.5000 0.8792  4 Ga 2.46-2.53
Pd: 0.4069 0.4069 0.1596  3 Ga 2.55-2.64, 4 Pd 2.83-2.85
Ga: 0.2667 0.7048 0.2667  7 Pd 2.46-2.64
Ga: 0.7048 0.2667 0.2667  7 Pd 2.46-2.64
Ga: 0.7333 0.7333 0.2952  7 Pd 2.46-2.64
Ga: 0.7333 0.2952 0.7333  7 Pd 2.46-2.64
Ga: 0.2667 0.2667 0.7048  7 Pd 2.46-2.64
Ga: 0.2952 0.7333 0.7333  7 Pd 2.46-2.64

Summary:
Final energy: -5.062 eV per atom
Space group: R-3m (166)

***

5.
A plane-wave DFT calculation with PBE was carried out for a geometry-optimized PrYMnAg structure.

a b c (Å): 5.2046 5.2046 5.2046
angles (deg): 60.00 60.00 60.00
Last column: nearest neighbours and their distance in Å.
Positions (direct):
Mn: 0.5000 0.5000 0.5000  4 Y 3.19, 4 Pr 3.19
Ag: 0.0000 0.0000 0.0000  4 Pr 3.19, 4 Y 3.19
Y: 0.2500 0.2500 0.2500  4 Mn 3.19, 4 Ag 3.19
Pr: 0.7500 0.7500 0.7500  4 Mn 3.19, 4 Ag 3.19

Summary:
Final energy: -5.785 eV per atom
Space group: F-43m (216)

***

6.
A plane-wave DFT calculation with PBE was carried out for a geometry-optimized AsCI2 structure.

a b c (Å): 7.0965 7.0965 6.4986
angles (deg): 56.91 56.91 90.00
Last column: nearest neighbours and their distance in Å.
Positions (direct):
C: 0.5000 0.5000 0.0000  4 I 2.49
C: 0.2500 0.7500 0.5000  4 I 2.49
As: 0.0000 0.0000 0.0000  4 I 2.96
As: 0.7500 0.2500 0.5000  4 I 2.96
I: 0.5741 0.1250 0.2500  2 C 2.49
I: 0.1759 0.6250 0.2500  2 C 2.49
I: 0.3750 0.4259 0.7500  2 C 2.49
I: 0.8750 0.8241 0.7500  2 C 2.49

Summary:
Final energy: -2.622 eV per atom
Space group: I-42d (122)
Uncorrected formation energy: 156 kJ per mole of atoms

***

7.
A plane-wave DFT calculation with PBE was carried out for a geometry-optimized MnSnPd14 structure.

a b c (Å): 5.6455 5.6455 7.8205
angles (deg): 90.00 90.00 90.00
Last column: nearest neighbours and their distance in Å.
Positions (direct):
Mn: 0.3750 0.3750 0.5000  12 Pd 2.77-2.82
Pd: 0.6229 0.6229 0.2518  1 Mn 2.77, 10 Pd 2.78-2.85, 1 Sn 2.80
Pd: 0.6229 0.1271 0.7482  1 Mn 2.77, 10 Pd 2.78-2.85, 1 Sn 2.80
Pd: 0.8750 0.8750 0.0000  12 Pd 2.82
Pd: 0.3750 0.8750 0.5000  8 Pd 2.78, 2 Sn 2.82, 2 Mn 2.82
Pd: 0.1271 0.6229 0.2518  1 Mn 2.77, 10 Pd 2.78-2.85, 1 Sn 2.80
Pd: 0.3750 0.8750 0.0000  12 Pd 2.80-2.82
Pd: 0.8750 0.3750 0.0000  12 Pd 2.80-2.82
Pd: 0.6229 0.6229 0.7482  1 Mn 2.77, 10 Pd 2.78-2.85, 1 Sn 2.80
Pd: 0.1271 0.6229 0.7482  1 Mn 2.77, 10 Pd 2.78-2.85, 1 Sn 2.80
Pd: 0.6229 0.1271 0.2518  1 Mn 2.77, 10 Pd 2.78-2.85, 1 Sn 2.80
Pd: 0.8750 0.3750 0.5000  8 Pd 2.78, 2 Sn 2.82, 2 Mn 2.82
Pd: 0.3750 0.3750 0.0000  12 Pd 2.79-2.82
Pd: 0.1271 0.1271 0.2518  1 Mn 2.77, 10 Pd 2.78-2.85, 1 Sn 2.80
Pd: 0.1271 0.1271 0.7482  1 Mn 2.77, 10 Pd 2.78-2.85, 1 Sn 2.80
Sn: 0.8750 0.8750 0.5000  12 Pd 2.80-2.82

Summary:
Final energy: -5.542 eV per atom
Space group: P4/mmm (123)

***

8.
A plane-wave DFT calculation with PBE was carried out for a geometry-optimized CsLa2SbI structure.

a b c (Å): 5.9979 6.5041 5.9979
angles (deg): 90.00 90.00 90.00
Last column: nearest neighbours and their distance in Å.
Positions (direct):
La: 0.0000 0.0000 0.5000  2 I 3.00
La: 0.5000 0.0000 0.0000  2 I 3.00
Sb: 0.5000 0.5000 0.5000  4 Cs 4.24, 8 La 4.42
I: 0.0000 0.0000 0.0000  4 La 3.00, 2 Cs 3.25
Cs: 0.0000 0.5000 0.0000  2 I 3.25

Summary:
Final energy: -3.303 eV per atom
Space group: P4/mmm (123)
Uncorrected formation energy: -3 kJ per mole of atoms